VASP calculation (PBE) on a relaxed structure of Pm2MgBe.

## Properties
spin magnetization = 0.00 μB per cell
energy above the most stable polymorph in this dataset = 0.0781 eV per atom
electronic total energy = -3.601 eV/atom
symmetry = Fm-3m
formation energy = 0.10 eV/atom

Cell: 7.3571 7.3571 7.3571 Å, 90.00 90.00 90.00°
With the nearest neighbours (Å) after each atom.
Positions (direct):
Pm 0.2500 0.2500 0.2500  4 Be 3.19, 4 Mg 3.19
Pm 0.2500 0.2500 0.7500  4 Be 3.19, 4 Mg 3.19
Pm 0.2500 0.7500 0.2500  4 Be 3.19, 4 Mg 3.19
Pm 0.2500 0.7500 0.7500  4 Mg 3.19, 4 Be 3.19
Pm 0.7500 0.2500 0.2500  4 Be 3.19, 4 Mg 3.19
Pm 0.7500 0.2500 0.7500  4 Mg 3.19, 4 Be 3.19
Pm 0.7500 0.7500 0.2500  4 Mg 3.19, 4 Be 3.19
Pm 0.7500 0.7500 0.7500  4 Be 3.19, 4 Mg 3.19
Mg 0.0000 0.0000 0.0000  8 Pm 3.19
Mg 0.0000 0.5000 0.5000  8 Pm 3.19
Mg 0.5000 0.0000 0.5000  8 Pm 3.19
Mg 0.5000 0.5000 0.0000  8 Pm 3.19
Be 0.0000 0.0000 0.5000  8 Pm 3.19
Be 0.0000 0.5000 0.0000  8 Pm 3.19
Be 0.5000 0.0000 0.0000  8 Pm 3.19
Be 0.5000 0.5000 0.5000  8 Pm 3.19